1.
DFT (PBE-GGA) results for crystalline SrZnIn3 at its relaxed geometry.

```
SrZnIn3
1.0
6.961 0.038 0.000
3.799 5.833 0.000
-5.380 -2.935 3.301
In Zn Sr
3 1 1
direct
0.742 0.242 0.500
0.242 0.742 0.500
0.397 0.397 0.000
0.613 0.613 0.000
0.006 0.006 0.000
```

Output
- Crystal system: tetragonal
- Energy of formation: -301 meV/atom



2.
DFT (PBE-GGA) results for crystalline SrZnIn3 at its relaxed geometry.

```
SrZnIn3
1.0
-0.054 1.341 -6.229
-5.252 -3.536 -0.716
-3.607 5.128 1.135
In Zn Sr
3 1 1
direct
0.000 0.000 0.500
0.000 0.500 0.000
0.500 0.000 0.000
0.500 0.500 0.500
0.000 0.000 0.000
```

Output
- Crystal system: cubic
- Energy of formation: 819 meV/atom



3.
DFT (PBE-GGA) results for crystalline SrZn2In4 at its relaxed geometry.

```
SrZn2In4
1.0
-0.238 4.352 1.671
-2.717 1.257 -3.660
-5.206 -2.598 6.026
In Zn Sr
4 2 1
direct
0.500 0.177 0.354
0.000 0.319 0.638
0.000 0.681 0.362
0.500 0.823 0.646
0.500 0.577 0.154
0.500 0.423 0.846
0.000 0.000 0.000
```

Output
- Crystal system: orthorhombic
- Energy of formation: -167 meV/atom